DFT (PBE) results for an optimized crystal structure of Pr2PdPt.

Lattice parameters (Å, degrees): 4.1972 4.1972 21.4675 90.00 90.00 120.00
Last column: nearest neighbours and their distance in Å.
Space group R3m (No. 160, hexagonal axes)
Asymmetric unit:
Pr  0.0000  0.0000  0.0000 x3  3 Pt 2.96, 3 Pd 3.10
Pr  0.0000  0.0000  0.1763 x3  3 Pt 2.94, 3 Pd 3.05
Pd  0.0000  0.0000  0.4234 x3  6 Pr 3.05-3.10
Pt  0.0000  0.0000  0.5873 x3  6 Pr 2.94-2.96

As for the formation energy: -0.8094 eV per atom.


DFT (PBE) results for an optimized crystal structure of InTe2Os2.

Lattice parameters (Å, degrees): 4.2368 4.2368 13.8667 90.00 90.00 90.00
Last column: nearest neighbours and their distance in Å.
Space group I4/mmm (No. 139)
Asymmetric unit:
In  0.0000  0.0000  0.0000 x2  8 Te 3.58
Te  0.0000  0.0000  0.3591 x4  4 Os 2.60
Os  0.0000  0.5000  0.2500 x4  4 Te 2.60

The value obtained for the energy relative to the elements, uncorrected is 0.409 eV/atom.


DFT (PBE) results for an optimized crystal structure of MnRh3Se.

Lattice parameters (Å, degrees): 4.4635 4.4635 4.4635 90.00 90.00 90.00
Last column: nearest neighbours and their distance in Å.
Space group Pm-3m (No. 221)
Asymmetric unit:
Mn  0.0000  0.0000  0.0000 x1  6 Rh 2.23
Rh  0.0000  0.0000  0.5000 x3  2 Mn 2.23
Se  0.5000  0.5000  0.5000 x1  12 Rh 3.16

The calculation puts the energy relative to the lowest polymorph listed for this composition at 492 meV per atom. The value obtained for the energy relative to the elements, uncorrected is 0.988 eV/atom.


DFT (PBE) results for an optimized crystal structure of DyTlAg.

Lattice parameters (Å, degrees): 4.9403 3.5615 5.3843 90.00 106.93 90.00
Last column: nearest neighbours and their distance in Å.
Space group P2/m (No. 10)
Asymmetric unit:
Dy  0.0000  0.0000  0.0000 x1  4 Ag 3.05, 4 Tl 3.23
Tl  0.0000  0.5000  0.5000 x1  2 Ag 3.08, 4 Dy 3.23
Ag  0.5000  0.5000  0.0000 x1  4 Dy 3.05, 2 Tl 3.08

As for the formation energy: 0.0385 eV per atom.


DFT (PBE) results for an optimized crystal structure of La4Dy2HoTm2.

Lattice parameters (Å, degrees): 18.7959 3.6322 8.8571 90.00 90.07 90.00
Last column: nearest neighbours and their distance in Å.
Space group C2/m (No. 12)
Asymmetric unit:
La  0.0555  0.0000  0.1726 x4  2 Ho 3.58, 1 Tm 3.58, 4 Dy 3.62-3.71, 5 La 3.63-3.70
La  0.2231  0.5000  0.1736 x4  3 Tm 3.54-3.60, 3 Dy 3.61-3.72, 6 La 3.63-3.71
Dy  0.1110  0.5000  0.8276 x4  2 Tm 3.56, 1 Ho 3.57, 7 La 3.61-3.72, 2 Dy 3.63
Ho  0.0000  0.5000  0.5000 x2  2 Dy 3.57, 4 La 3.58, 4 Tm 3.61, 2 Ho 3.63
Tm  0.1660  0.0000  0.5028 x4  4 La 3.54-3.60, 2 Dy 3.56, 2 Ho 3.61, 4 Tm 3.63-3.64

As for the formation energy: 0.0318 eV per atom.


DFT (PBE) results for an optimized crystal structure of Dy2TmPb.

Lattice parameters (Å, degrees): 3.5166 3.5166 35.8834 90.00 90.00 120.00
Last column: nearest neighbours and their distance in Å.
Space group R-3m (No. 166, hexagonal axes)
Asymmetric unit:
Dy  0.0000  0.0000  0.0886 x6  1 Pb 3.18, 3 Tm 3.46, 6 Dy 3.52
Tm  0.0000  0.0000  0.5000 x3  6 Dy 3.46, 6 Tm 3.52
Pb  0.0000  0.0000  0.0000 x3  2 Dy 3.18, 6 Pb 3.52

The calculation puts the energy relative to the lowest polymorph listed for this composition at 309 meV per atom. As for the formation energy: 0.0432 eV per atom.